# 1
Below is a geometry-optimized Y3VCo8 structure, with properties calculated at the GGA-PBE level.

Summary:
**Calculated volume**: 176.7 Å³/f.u.
**ΔH_f (0 K)**: -0.15 eV/atom

Cell lengths 5.0735, 5.0735, 23.7735 Å; angles 90.00, 90.00, 120.00 degrees
Space group R3m (No. 160, hexagonal axes)
Symmetry-distinct sites (fractional):
Y: 0.0000 0.0000 0.0000 (multiplicity 3)
Y: 0.0000 0.0000 0.1406 (multiplicity 3)
Y: 0.0000 0.0000 0.2812 (multiplicity 3)
V: 0.0000 0.0000 0.8143 (multiplicity 3)
Co: 0.0000 0.0000 0.4738 (multiplicity 3)
Co: 0.0000 0.0000 0.6443 (multiplicity 3)
Co: 0.0114 0.5057 0.2224 (multiplicity 9)
Co: 0.1673 0.3347 0.3945 (multiplicity 9)

# 2
Below is a geometry-optimized YV2Co10 structure, with properties calculated at the GGA-PBE level.

Summary:
**Calculated volume**: 161.2 Å³/f.u.
**ΔH_f (0 K)**: -0.09 eV/atom

Cell lengths 4.6561, 8.3076, 8.3331 Å; angles 90.00, 90.00, 90.00 degrees
Space group Immm (No. 71)
Symmetry-distinct sites (fractional):
Y: 0.0000 0.0000 0.0000 (multiplicity 2)
V: 0.0000 0.0000 0.3619 (multiplicity 4)
Co: 0.0000 0.2810 0.5000 (multiplicity 4)
Co: 0.0000 0.3594 0.0000 (multiplicity 4)
Co: 0.0000 0.5000 0.2771 (multiplicity 4)
Co: 0.2500 0.2500 0.2500 (multiplicity 8)

# 3
Below is a geometry-optimized YVCo3 structure, with properties calculated at the GGA-PBE level.

Summary:
**Calculated volume**: 79.9 Å³/f.u.
**ΔH_f (0 K)**: 0.35 eV/atom

Cell lengths 4.3075, 4.3075, 4.3075 Å; angles 90.00, 90.00, 90.00 degrees
Space group Pm-3m (No. 221)
Symmetry-distinct sites (fractional):
Y: 0.0000 0.0000 0.0000 (multiplicity 1)
V: 0.5000 0.5000 0.5000 (multiplicity 1)
Co: 0.0000 0.5000 0.5000 (multiplicity 3)

# 4
Below is a geometry-optimized Y2VCo2 structure, with properties calculated at the GGA-PBE level.

Summary:
**Calculated volume**: 91.0 Å³/f.u.
**ΔH_f (0 K)**: 0.00 eV/atom

Cell lengths 6.3452, 6.3452, 4.5215 Å; angles 90.00, 90.00, 90.00 degrees
Space group P4/mbm (No. 127)
Symmetry-distinct sites (fractional):
Y: 0.1802 0.3198 0.0000 (multiplicity 4)
V: 0.0000 0.0000 0.5000 (multiplicity 2)
Co: 0.1318 0.6318 0.5000 (multiplicity 4)